[1]
{"formula": "Cs2NaZnSb2", "functional": "PBE", "state": "relaxed", "lattice": [[-3.749, 8.495, 3.630], [3.749, -8.495, 3.630], [3.749, 8.495, -3.630]], "species": ["Cs", "Cs", "Cs", "Cs", "Na", "Na", "Zn", "Zn", "Sb", "Sb", "Sb", "Sb"], "fractional_positions": [[0.167, 0.240, 0.408], [0.333, 0.740, 0.073], [0.667, 0.260, 0.927], [0.833, 0.760, 0.592], [0.250, 0.250, 0.000], [0.750, 0.750, 0.000], [0.250, 0.750, 0.500], [0.750, 0.250, 0.500], [0.085, 0.706, 0.791], [0.415, 0.206, 0.621], [0.585, 0.794, 0.379], [0.915, 0.294, 0.209]], "energy_ev_per_cell": -29.5, "spacegroup": "Ibam (72)", "density_g_cm3": 4.29, "m_tot_mub_per_cell": 0.00}

---

[2]
{"formula": "Sr2Ca12Hg7", "functional": "PBE", "state": "relaxed", "lattice": [[13.311, 0.000, 0.000], [-6.655, 11.527, 0.000], [0.000, 0.000, 4.575]], "species": ["Sr", "Sr", "Ca", "Ca", "Ca", "Ca", "Ca", "Ca", "Ca", "Ca", "Ca", "Ca", "Ca", "Ca", "Hg", "Hg", "Hg", "Hg", "Hg", "Hg", "Hg"], "fractional_positions": [[0.000, 0.000, 0.000], [0.333, 0.667, 0.500], [0.052, 0.273, 0.500], [0.104, 0.704, 0.000], [0.222, 0.948, 0.500], [0.296, 0.400, 0.000], [0.391, 0.180, 0.000], [0.542, 0.435, 0.500], [0.565, 0.107, 0.500], [0.600, 0.896, 0.000], [0.727, 0.778, 0.500], [0.788, 0.609, 0.000], [0.820, 0.212, 0.000], [0.893, 0.458, 0.500], [0.082, 0.456, 0.000], [0.244, 0.203, 0.500], [0.374, 0.918, 0.000], [0.544, 0.626, 0.000], [0.667, 0.333, 0.000], [0.797, 0.041, 0.500], [0.959, 0.756, 0.500]], "energy_ev_per_cell": -37.4, "delta_e_f_ev_per_atom": -0.375, "spacegroup": "P-6 (174)", "density_g_cm3": 4.87, "m_tot_mub_per_cell": 0.00}

---

[3]
{"formula": "ErSc3Au4", "functional": "PBE", "state": "relaxed", "lattice": [[3.446, 0.000, 0.000], [0.000, 3.446, 0.000], [0.000, 0.000, 13.765]], "species": ["Er", "Sc", "Sc", "Sc", "Au", "Au", "Au", "Au"], "fractional_positions": [[0.000, 0.000, 0.000], [0.000, 0.000, 0.256], [0.000, 0.000, 0.500], [0.000, 0.000, 0.744], [0.500, 0.500, 0.137], [0.500, 0.500, 0.378], [0.500, 0.500, 0.622], [0.500, 0.500, 0.863]], "energy_ev_per_cell": -43.2, "delta_e_f_ev_per_atom": -0.823, "spacegroup": "P4/mmm (123)", "density_g_cm3": 11.07, "m_tot_mub_per_cell": 0.00}

---

[4]
{"formula": "HoNiTe2", "functional": "PBE", "state": "relaxed", "lattice": [[3.743, 0.000, 0.000], [-1.872, 3.242, 0.000], [0.000, 0.000, 26.835]], "species": ["Ho", "Ho", "Ho", "Ni", "Ni", "Ni", "Te", "Te", "Te", "Te", "Te", "Te"], "fractional_positions": [[0.000, 0.000, 0.000], [0.333, 0.667, 0.667], [0.667, 0.333, 0.333], [0.000, 0.000, 0.500], [0.333, 0.667, 0.167], [0.667, 0.333, 0.833], [0.000, 0.000, 0.113], [0.000, 0.000, 0.887], [0.333, 0.667, 0.554], [0.333, 0.667, 0.780], [0.667, 0.333, 0.220], [0.667, 0.333, 0.446]], "energy_ev_per_cell": -52.2, "spacegroup": "R-3m (166)", "density_g_cm3": 7.33, "m_tot_mub_per_cell": 0.00}

---

[5]
{"formula": "ZrCoSn2Bi", "functional": "PBE", "state": "relaxed", "lattice": [[5.692, 0.000, 0.000], [0.000, 5.692, 0.000], [0.000, 0.000, 4.596]], "species": ["Zr", "Co", "Sn", "Sn", "Bi"], "fractional_positions": [[0.000, 0.000, 0.000], [0.500, 0.500, 0.000], [0.000, 0.500, 0.500], [0.500, 0.000, 0.500], [0.500, 0.500, 0.500]], "energy_ev_per_cell": -21.6, "delta_e_f_ev_per_atom": 1.190, "spacegroup": "P4/mmm (123)", "density_g_cm3": 6.65, "m_tot_mub_per_cell": 0.00}

---

[6]
{"formula": "TbLuNiOs", "functional": "PBE", "state": "relaxed", "lattice": [[6.733, 0.000, 0.000], [0.000, 6.733, 0.000], [0.000, 0.000, 6.733]], "species": ["Tb", "Tb", "Tb", "Tb", "Lu", "Lu", "Lu", "Lu", "Ni", "Ni", "Ni", "Ni", "Os", "Os", "Os", "Os"], "fractional_positions": [[0.000, 0.000, 0.000], [0.000, 0.500, 0.500], [0.500, 0.000, 0.500], [0.500, 0.500, 0.000], [0.000, 0.000, 0.500], [0.000, 0.500, 0.000], [0.500, 0.000, 0.000], [0.500, 0.500, 0.500], [0.250, 0.250, 0.750], [0.250, 0.750, 0.250], [0.750, 0.250, 0.250], [0.750, 0.750, 0.750], [0.250, 0.250, 0.250], [0.250, 0.750, 0.750], [0.750, 0.250, 0.750], [0.750, 0.750, 0.250]], "energy_ev_per_cell": -110.1, "delta_e_f_ev_per_atom": -0.338, "spacegroup": "F-43m (216)", "density_g_cm3": 12.68, "m_tot_mub_per_cell": 0.00}

---

[7]
{"formula": "In2SnIr", "functional": "PBE", "state": "relaxed", "lattice": [[9.131, 0.000, 0.000], [0.000, 9.131, 0.000], [0.000, 0.000, 5.086]], "species": ["In", "In", "In", "In", "In", "In", "In", "In", "Sn", "Sn", "Sn", "Sn", "Ir", "Ir", "Ir", "Ir"], "fractional_positions": [[0.147, 0.250, 0.125], [0.250, 0.647, 0.375], [0.250, 0.853, 0.875], [0.353, 0.250, 0.625], [0.647, 0.750, 0.625], [0.750, 0.147, 0.875], [0.750, 0.353, 0.375], [0.853, 0.750, 0.125], [0.000, 0.000, 0.500], [0.000, 0.500, 0.750], [0.500, 0.000, 0.250], [0.500, 0.500, 0.000], [0.000, 0.000, 0.000], [0.000, 0.500, 0.250], [0.500, 0.000, 0.750], [0.500, 0.500, 0.500]], "energy_ev_per_cell": -72.0, "delta_e_f_ev_per_atom": 0.084, "spacegroup": "I-42d (122)", "density_g_cm3": 8.47, "m_tot_mub_per_cell": 0.00}

---

[8]
{"formula": "Pb3Cl3O", "functional": "PBE", "state": "relaxed", "lattice": [[3.973, -5.424, 0.000], [3.973, 5.424, 0.000], [-0.271, 0.000, 8.943]], "species": ["Pb", "Pb", "Pb", "Pb", "Pb", "Pb", "Cl", "Cl", "Cl", "Cl", "Cl", "Cl", "O", "O"], "fractional_positions": [[0.066, 0.422, 0.749], [0.168, 0.168, 0.368], [0.422, 0.066, 0.749], [0.578, 0.934, 0.251], [0.832, 0.832, 0.632], [0.934, 0.578, 0.251], [0.174, 0.826, 0.000], [0.299, 0.701, 0.500], [0.491, 0.491, 0.818], [0.509, 0.509, 0.182], [0.701, 0.299, 0.500], [0.826, 0.174, 0.000], [0.133, 0.133, 0.628], [0.867, 0.867, 0.372]], "energy_ev_per_cell": -56.5, "spacegroup": "C2/m (12)", "density_g_cm3": 6.41, "m_tot_mub_per_cell": 0.00}

---

> Number 8 is which compound?

Pb3Cl3O